Record 1
VASP calculation (PBE) on crystalline Y3HoO at its relaxed geometry.

Cell lengths 7.1360, 6.3008, 5.6291 Å; angles 90.00, 90.00, 90.00 degrees
Closest atoms and distances in Å follow each position.
Space group Pmn2_1 (No. 31)
Asymmetric unit:
Y  0.0000  0.1733  0.0000 (multiplicity 2)  1 O 2.49
Y  0.2494  0.6442  0.0066 (multiplicity 4)  2 O 2.44-2.45
Ho  0.0000  0.8208  0.5139 (multiplicity 2)  1 O 2.43
O  0.0000  0.5023  0.7563 (multiplicity 2)  1 Ho 2.43, 5 Y 2.44-2.49

Calculated values
The total energy comes out at -6.893 eV/atom. Its raw formation energy is -1.108 eV per atom.

=====

Record 2
VASP calculation (PBE) on crystalline BeIn3Sn at its relaxed geometry.

Cell lengths 5.0014, 5.0014, 5.0014 Å; angles 90.00, 90.00, 90.00 degrees
Closest atoms and distances in Å follow each position.
Space group Pm-3m (No. 221)
Asymmetric unit:
Be  0.0000  0.0000  0.0000 (multiplicity 1)  6 In 2.50
In  0.0000  0.0000  0.5000 (multiplicity 3)  2 Be 2.50
Sn  0.5000  0.5000  0.5000 (multiplicity 1)  12 In 3.54

Calculated values
The total energy comes out at -2.880 eV/atom. As for the formation energy: 0.309 eV per atom.

=====

Record 3
VASP calculation (PBE) on crystalline Rb3SnAs at its relaxed geometry.

Cell lengths 6.6549, 6.6549, 6.6549 Å; angles 90.00, 90.00, 90.00 degrees
Closest atoms and distances in Å follow each position.
Space group Pm-3m (No. 221)
Asymmetric unit:
Rb  0.0000  0.0000  0.5000 (multiplicity 3)  2 As 3.33
Sn  0.5000  0.5000  0.5000 (multiplicity 1)  12 Rb 4.71
As  0.0000  0.0000  0.0000 (multiplicity 1)  6 Rb 3.33

Calculated values
The total energy comes out at -2.149 eV/atom. As for the formation energy: 0.162 eV per atom.